# 1
## K4Np3UTe8 (PBE-GGA)

Data for K4Np3UTe8 after structural relaxation.

a b c (Å): 9.7737 9.7737 9.7737
angles (deg): 55.31 55.31 55.31
Fractional positions:
K 0.0000 0.0000 0.0000
K 0.0000 0.5000 0.5000
K 0.5000 0.0000 0.5000
K 0.5000 0.5000 0.0000
Np 0.0000 0.0000 0.5000
Np 0.0000 0.5000 0.0000
Np 0.5000 0.0000 0.0000
U 0.5000 0.5000 0.5000
Te 0.2369 0.2369 0.2369
Te 0.2389 0.7359 0.7359
Te 0.2641 0.2641 0.7611
Te 0.2641 0.7611 0.2641
Te 0.7359 0.2389 0.7359
Te 0.7359 0.7359 0.2389
Te 0.7611 0.2641 0.2641
Te 0.7631 0.7631 0.7631

Results
The density of states at the Fermi level is 2.319 states/eV/atom. The energy relative to the elements, uncorrected is -0.885 eV/atom. The value obtained for the uncorrected energy is -5.8617 eV per atom.

# 2
## Zr3AlNi2 (PBE-GGA)

Data for Zr3AlNi2 after structural relaxation.

a b c (Å): 6.1408 6.1408 6.5194
angles (deg): 90.00 90.00 120.00
Fractional positions:
Zr 0.1695 0.3390 0.1867
Zr 0.1695 0.8305 0.1867
Zr 0.3390 0.1695 0.8133
Zr 0.6610 0.8305 0.1867
Zr 0.8305 0.1695 0.8133
Zr 0.8305 0.6610 0.8133
Al 0.3333 0.6667 0.7957
Al 0.6667 0.3333 0.2043
Ni 0.0000 0.0000 0.5000
Ni 0.0000 0.5000 0.5000
Ni 0.5000 0.0000 0.5000
Ni 0.5000 0.5000 0.5000

Results
The density of states at the Fermi level is 1.075 states/eV/atom. For the energy above the lowest structure with this stoichiometry, the calculation gives 88 meV per atom. The value obtained for the uncorrected energy is -6.9834 eV per atom. The energy relative to the elements is -158 meV per atom.

# 3
## MnReSe2 (PBE-GGA)

Data for MnReSe2 after structural relaxation.

a b c (Å): 5.3965 5.3965 5.3965
angles (deg): 139.54 139.54 58.55
Fractional positions:
Mn 0.0000 0.0000 0.0000
Re 0.2500 0.7500 0.5000
Se 0.5000 0.5000 0.0000
Se 0.7500 0.2500 0.5000

Results
The density of states at the Fermi level is 1.094 states/eV/atom. The energy relative to the elements, uncorrected is 0.654 eV/atom. For the energy above the lowest structure with this stoichiometry, the calculation gives 790 meV per atom. The value obtained for the uncorrected energy is -6.4932 eV per atom.